Co2AuCO | SCAN | PBEsol geometry

POSCAR file:
```
Co2AuCO
1.0
-2.575 2.610 -0.293
-0.685 -1.063 -3.453
-2.887 -2.691 1.401
Co C Au O
2 1 1 1
Cartesian
-0.342 -0.532 -1.727 Co
-1.287 1.305 -0.147 Co
0.000 0.000 0.000 C
-1.444 -1.346 0.701 Au
-3.073 -0.572 -1.173 O
```

Computed properties:
spin magnetization: 0.547 μB/atom
total DFT energy (no corrections): -0.857 Ha/atom
space-group type: No. 123